This record from OQMD via LeMat-Bulk describes a relaxed structure of CoPbSeO. The functional is GGA+U.

Summary:
For the total energy, the calculation gives -76.8 eV/cell.

```
16
Lattice="-1.348 -1.082 -2.793 -1.417 -6.574 3.231 -11.708 4.453 3.925" Properties=species:S:1:pos:R:3 pbc="T T T"
Pb -10.780 -0.358 2.444
Pb -3.661 0.699 0.530
Pb -3.693 -2.845 1.919
Pb -10.812 -3.902 3.833
O -8.695 0.471 1.117
O -12.251 -1.733 3.687
O -5.778 -3.674 3.246
O -2.222 -1.470 0.676
Se -11.142 2.772 3.338
Se -3.331 -5.975 1.026
Se -6.245 -1.310 0.625
Se -8.227 -1.893 3.738
Co -7.293 0.176 2.486
Co -12.527 -1.390 5.619
Co -7.179 -3.379 1.877
Co -1.946 -1.813 -1.255
```